# 1
The following is a DFT calculation (PBE-GGA) of a geometry-optimized YMg3Sn structure.

Results
SG: No. 221
excess energy over the best structure of this formula in the dataset: 0 meV/atom
V: 30.60 Å³/atom
ΔE_f: 0.342 eV/atom
electronic total energy: -2.71 eV per atom

Cell: 5.349 5.349 5.349 Å, 90.00 90.00 90.00°
Fractional coordinates of all 5 atoms:
Y 0.000 0.000 0.000
Mg 0.000 0.500 0.500
Mg 0.500 0.000 0.500
Mg 0.500 0.500 0.000
Sn 0.500 0.500 0.500

---

# 2
The following is a DFT calculation (PBE-GGA) of a geometry-optimized LiAc3Y2Te6 structure.

Results
SG: No. 12
energy relative to the elements, uncorrected: -134.4 kJ per mole of atoms
V: 33.17 Å³/atom
electronic total energy: -5.23 eV per atom

Cell: 10.161 10.161 9.082 Å, 102.79 102.79 25.84°
Fractional coordinates of all 12 atoms:
Li 0.000 0.000 0.000
Ac 0.000 0.000 0.500
Ac 0.334 0.334 0.166
Ac 0.666 0.666 0.834
Y 0.333 0.333 0.660
Y 0.667 0.667 0.340
Te 0.159 0.159 0.099
Te 0.172 0.172 0.573
Te 0.494 0.494 0.769
Te 0.506 0.506 0.231
Te 0.828 0.828 0.427
Te 0.841 0.841 0.901

---

# 3
The following is a DFT calculation (PBE-GGA) of a geometry-optimized Cu2As2O7 structure.

Results
SG: No. 12
energy relative to the elements, uncorrected: -86.5 kJ per mole of atoms
excess energy over the best structure of this formula in the dataset: 14 meV/atom
V: 13.19 Å³/atom
electronic total energy: -5.64 eV per atom

Cell: 5.616 5.616 5.018 Å, 105.02 105.02 96.12°
Fractional coordinates of all 11 atoms:
Cu 0.186 0.814 0.000
Cu 0.814 0.186 0.000
As 0.299 0.299 0.595
As 0.701 0.701 0.405
O 0.101 0.101 0.266
O 0.128 0.466 0.783
O 0.466 0.128 0.783
O 0.500 0.500 0.500
O 0.534 0.872 0.217
O 0.872 0.534 0.217
O 0.899 0.899 0.734

---

# 4
The following is a DFT calculation (PBE-GGA) of a geometry-optimized Nd2FeCu structure.

Results
SG: No. 166
excess energy over the best structure of this formula in the dataset: 615 meV/atom
V: 23.95 Å³/atom
ΔE_f: 0.688 eV/atom
electronic total energy: -4.84 eV per atom

Cell: 3.291 3.291 30.638 Å, 90.00 90.00 120.00°
Fractional coordinates of all 12 atoms:
Nd 0.000 0.000 0.090
Nd 0.000 0.000 0.910
Nd 0.333 0.667 0.577
Nd 0.333 0.667 0.757
Nd 0.667 0.333 0.243
Nd 0.667 0.333 0.423
Fe 0.000 0.000 0.000
Fe 0.333 0.667 0.667
Fe 0.667 0.333 0.333
Cu 0.000 0.000 0.500
Cu 0.333 0.667 0.167
Cu 0.667 0.333 0.833

---

# 5
The following is a DFT calculation (PBE-GGA) of a geometry-optimized PmNd2Ag2Sn2 structure.

Results
SG: No. 166
V: 27.28 Å³/atom
ΔE_f: -0.427 eV/atom
electronic total energy: -4.43 eV per atom

Cell: 9.778 9.778 9.778 Å, 28.73 28.73 28.73°
Fractional coordinates of all 7 atoms:
Pm 0.000 0.000 0.000
Nd 0.128 0.128 0.128
Nd 0.872 0.872 0.872
Ag 0.399 0.399 0.399
Ag 0.601 0.601 0.601
Sn 0.263 0.263 0.263
Sn 0.737 0.737 0.737

---

# 6
The following is a DFT calculation (PBE-GGA) of a geometry-optimized NdTm2HfP4 structure.

Results
SG: No. 10
V: 21.50 Å³/atom
ΔE_f: -1.478 eV/atom
electronic total energy: -7.14 eV per atom

Cell: 6.795 3.928 6.823 Å, 90.00 109.22 90.00°
Fractional coordinates of all 8 atoms:
Nd 0.000 0.000 0.000
Tm 0.500 0.000 0.500
Tm 0.500 0.500 0.000
Hf 0.000 0.500 0.500
P 0.243 0.000 0.734
P 0.253 0.500 0.266
P 0.747 0.500 0.734
P 0.757 0.000 0.266

---

# 7
The following is a DFT calculation (PBE-GGA) of a geometry-optimized In2AgAu2 structure.

Results
SG: No. 139
excess energy over the best structure of this formula in the dataset: 174 meV/atom
V: 22.50 Å³/atom
ΔE_f: 0.022 eV/atom
electronic total energy: -2.95 eV per atom

Cell: 3.867 3.867 15.048 Å, 90.00 90.00 90.00°
Fractional coordinates of all 10 atoms:
In 0.000 0.000 0.101
In 0.000 0.000 0.899
In 0.500 0.500 0.399
In 0.500 0.500 0.601
Ag 0.000 0.000 0.500
Ag 0.500 0.500 0.000
Au 0.000 0.500 0.250
Au 0.000 0.500 0.750
Au 0.500 0.000 0.250
Au 0.500 0.000 0.750